The following is a PBE calculation of DyThPt after structural relaxation, from OQMD.

Calculated values
ΔE to the lowest computed polymorph in kJ/mol of atoms: 0.0
E in eV/atom: -6.69

Lattice parameters (Å, degrees): 7.0059 7.0059 7.0059 90.00 90.00 90.00
Space group F-43m (No. 216)
Inequivalent atoms, fractional coordinates:
Dy  0.0000  0.0000  0.0000 (multiplicity 4)
Th  0.0000  0.0000  0.5000 (multiplicity 4)
Pt  0.2500  0.2500  0.2500 (multiplicity 4)


The following is a PBE calculation of Nb4InPN2 after structural relaxation, from OQMD.

Calculated values
E in eV/atom: -8.86

Lattice parameters (Å, degrees): 3.2605 3.2605 12.8256 90.00 90.00 120.00
Space group P-6m2 (No. 187)
Inequivalent atoms, fractional coordinates:
Nb  0.0000  0.0000  0.1359 (multiplicity 2)
Nb  0.3333  0.6667  0.3128 (multiplicity 2)
In  0.0000  0.0000  0.5000 (multiplicity 1)
P  0.3333  0.6667  0.0000 (multiplicity 1)
N  0.6667  0.3333  0.2315 (multiplicity 2)


The following is a PBE calculation of CoSiSn after structural relaxation, from OQMD.

Calculated values
E in eV/atom: -5.66

Lattice parameters (Å, degrees): 4.1154 4.1154 5.7751 90.00 90.00 90.00
Space group P4/nmm (No. 129, origin choice 2)
Inequivalent atoms, fractional coordinates:
Co  0.2500  0.2500  0.2057 (multiplicity 2)
Si  0.2500  0.7500  0.0000 (multiplicity 2)
Sn  0.2500  0.7500  0.5000 (multiplicity 2)


The following is a PBE calculation of ErBeO3 after structural relaxation, from OQMD.

Calculated values
E in eV/atom: -7.15

Lattice parameters (Å, degrees): 5.3196 7.0037 4.9173 90.00 90.00 90.00
Space group Pnma (No. 62)
Inequivalent atoms, fractional coordinates:
Er  0.0713  0.2500  0.0225 (multiplicity 4)
Be  0.0000  0.0000  0.5000 (multiplicity 4)
O  0.0105  0.7500  0.4307 (multiplicity 4)
O  0.2179  0.5374  0.8127 (multiplicity 8)


The following is a PBE calculation of Cs2Rb2HgP2 after structural relaxation, from OQMD.

Calculated values
ΔE to the lowest computed polymorph in kJ/mol of atoms: 1.2
E in eV/atom: -2.44

Lattice parameters (Å, degrees): 6.1703 6.1703 27.8344 90.00 90.00 120.00
Space group R-3m (No. 166, hexagonal axes)
Inequivalent atoms, fractional coordinates:
Cs  0.0000  0.0000  0.1148 (multiplicity 6)
Rb  0.0000  0.0000  0.2926 (multiplicity 6)
Hg  0.0000  0.0000  0.5000 (multiplicity 3)
P  0.0000  0.0000  0.4127 (multiplicity 6)


The following is a PBE calculation of NpBPt after structural relaxation, from OQMD.

Calculated values
ΔE to the lowest computed polymorph in kJ/mol of atoms: 0.0
E in eV/atom: -8.48

Lattice parameters (Å, degrees): 5.8449 5.8449 5.8449 90.00 90.00 90.00
Space group F-43m (No. 216)
Inequivalent atoms, fractional coordinates:
Np  0.0000  0.0000  0.0000 (multiplicity 4)
B  0.2500  0.2500  0.2500 (multiplicity 4)
Pt  0.0000  0.0000  0.5000 (multiplicity 4)


The following is a PBE calculation of Tm2SO2 after structural relaxation, from OQMD.

Calculated values
E in eV/atom: -6.99

Lattice parameters (Å, degrees): 4.0192 15.3735 3.6304 90.00 90.00 90.00
Space group Cmmm (No. 65)
Inequivalent atoms, fractional coordinates:
Tm  0.0000  0.1172  0.0000 (multiplicity 4)
S  0.0000  0.5000  0.0000 (multiplicity 2)
O  0.0000  0.1744  0.5000 (multiplicity 4)


The following is a PBE calculation of TlZnGe after structural relaxation, from OQMD.

Calculated values
E in eV/atom: -2.32

Lattice parameters (Å, degrees): 6.7042 6.7042 6.7042 90.00 90.00 90.00
Space group F-43m (No. 216)
Inequivalent atoms, fractional coordinates:
Tl  0.0000  0.0000  0.0000 (multiplicity 4)
Zn  0.2500  0.2500  0.2500 (multiplicity 4)
Ge  0.2500  0.2500  0.7500 (multiplicity 4)


The following is a PBE calculation of Cu7Ag3 after structural relaxation, from OQMD.

Calculated values
ΔE to the lowest computed polymorph in kJ/mol of atoms: 2.3
E in eV/atom: -3.38

Lattice parameters (Å, degrees): 2.7863 3.3980 14.4714 90.00 90.00 90.00
Space group Pmm2 (No. 25)
Inequivalent atoms, fractional coordinates:
Cu  0.0000  0.0000  0.0000 (multiplicity 1)
Cu  0.0000  0.0000  0.1748 (multiplicity 1)
Cu  0.0000  0.0000  0.3900 (multiplicity 1)
Cu  0.0000  0.0000  0.5659 (multiplicity 1)
Cu  0.5000  0.5000  0.0873 (multiplicity 1)
Cu  0.5000  0.5000  0.4766 (multiplicity 1)
Cu  0.5000  0.5000  0.6525 (multiplicity 1)
Ag  0.0000  0.0000  0.7612 (multiplicity 1)
Ag  0.5000  0.5000  0.2824 (multiplicity 1)
Ag  0.5000  0.5000  0.8910 (multiplicity 1)


The following is a PBE calculation of Ba2DyOsSe6 after structural relaxation, from OQMD.

Calculated values
E in eV/atom: -5.19

Lattice parameters (Å, degrees): 7.2220 7.2619 7.3117 62.42 61.51 60.84
Space group P-1 (No. 2)
Inequivalent atoms, fractional coordinates:
Ba  0.2493  0.2546  0.2452 (multiplicity 2)
Dy  0.5000  0.5000  0.5000 (multiplicity 1)
Os  0.0000  0.0000  0.0000 (multiplicity 1)
Se  0.1961  0.2787  0.7954 (multiplicity 2)
Se  0.2268  0.8387  0.6882 (multiplicity 2)
Se  0.2892  0.7309  0.1852 (multiplicity 2)


The following is a PBE calculation of NaGdU after structural relaxation, from OQMD.

Calculated values
ΔE to the lowest computed polymorph in kJ/mol of atoms: 0.0
E in eV/atom: -4.24

Lattice parameters (Å, degrees): 7.3772 7.3772 7.3772 90.00 90.00 90.00
Space group F-43m (No. 216)
Inequivalent atoms, fractional coordinates:
Na  0.0000  0.0000  0.0000 (multiplicity 4)
Gd  0.2500  0.2500  0.7500 (multiplicity 4)
U  0.2500  0.2500  0.2500 (multiplicity 4)


The following is a PBE calculation of PrTlPO after structural relaxation, from OQMD.

Calculated values
ΔE to the lowest computed polymorph in kJ/mol of atoms: 10.8
E in eV/atom: -5.59

Lattice parameters (Å, degrees): 5.5306 5.3917 6.3440 90.00 90.00 90.00
Space group Pmc2_1 (No. 26)
Inequivalent atoms, fractional coordinates:
Pr  0.0000  0.2185  0.0000 (multiplicity 2)
Tl  0.5000  0.2291  0.3976 (multiplicity 2)
P  0.5000  0.2759  0.8302 (multiplicity 2)
O  0.0000  0.1580  0.3503 (multiplicity 2)